Computed, not measured: crystalline Sm2Cu2O5 at its relaxed geometry at the GGA-PBEsol level of DFT.

Lattice parameters (Å, degrees): 3.704 5.646 9.740 90.00 90.00 90.00
Positions (direct):
Sm 0.500 0.138 0.848
Sm 0.500 0.362 0.348
Sm 0.500 0.638 0.652
Sm 0.500 0.862 0.152
Cu 0.000 0.182 0.591
Cu 0.000 0.318 0.091
Cu 0.000 0.682 0.909
Cu 0.000 0.818 0.409
O 0.000 0.000 0.000
O 0.000 0.097 0.292
O 0.500 0.223 0.598
O 0.500 0.277 0.098
O 0.000 0.403 0.792
O 0.000 0.500 0.500
O 0.000 0.597 0.208
O 0.500 0.723 0.902
O 0.500 0.777 0.402
O 0.000 0.903 0.708

- Space-group type: Pbam (55)
- Formation energy (no corrections): -2.146 eV per atom